DFT (PBE) results for a relaxed Pm2Sm3Ho3 crystal.

```
data_Pm2Sm3Ho3
_space_group_name_H-M_alt 'P 1'
_space_group_IT_number 1
_cell_length_a 6.3107
_cell_length_b 8.5511
_cell_length_c 14.6300
_cell_angle_alpha 90.00
_cell_angle_beta 90.00
_cell_angle_gamma 137.64
loop_
_space_group_symop_operation_xyz
'x,y,z'
loop_
_atom_site_label
_atom_site_fract_x
_atom_site_fract_y
_atom_site_fract_z
Sm1 0.4191 0.7499 0.7500
Ho1 0.5877 0.2505 0.7500
Pm1 0.9210 0.7507 0.6247
Ho2 0.5844 0.2502 0.9998
Sm2 0.9149 0.7501 0.1243
Sm3 0.9149 0.7501 0.3757
Pm2 0.9210 0.7507 0.8753
Sm4 0.0851 0.2499 0.8757
Ho3 0.4123 0.7495 0.2500
Sm5 0.5809 0.2501 0.2500
Sm6 0.0851 0.2499 0.6243
Ho4 0.4156 0.7498 0.0002
Ho5 0.4156 0.7498 0.4998
Pm3 0.0790 0.2493 0.1247
Ho6 0.5844 0.2502 0.5002
Pm4 0.0790 0.2493 0.3753
```

## Properties
- theoretical density (g/cm3) = 7.72
- raw total energy (eV/atom) = -4.651
- polymorph energy (0 for the lowest one) (eV/atom) = 0.005
- formation enthalpy at 0 K (eV/atom) = 0.023
- M_tot (μB/f.u.) = 0.00